Record 1
Entry from the Open Quantum Materials Database: a relaxed structure of Pr2Pd5Au5 (PBE-GGA).

Cell lengths 4.604, 5.481, 9.478 Å; angles 90.00, 90.00, 90.00 degrees
Fractional coordinates of all 12 atoms:
Pr 0.000 0.000 0.000
Pr 0.000 0.500 0.500
Pd 0.000 0.000 0.334
Pd 0.000 0.000 0.666
Pd 0.000 0.500 0.163
Pd 0.000 0.500 0.837
Pd 0.500 0.500 0.000
Au 0.500 0.000 0.500
Au 0.500 0.250 0.247
Au 0.500 0.250 0.753
Au 0.500 0.750 0.247
Au 0.500 0.750 0.753

## Properties
**DFT formation energy**: -568 meV per atom

***

Record 2
Entry from the Open Quantum Materials Database: a relaxed structure of TbNpB (PBE-GGA).

Cell lengths 4.433, 4.433, 4.433 Å; angles 60.00, 60.00, 60.00 degrees
Fractional coordinates of all 3 atoms:
Tb 0.000 0.000 0.000
Np 0.500 0.500 0.500
B 0.750 0.750 0.750

## Properties
**Energy relative to the lowest polymorph listed for this composition**: 0.0 meV/atom

***

Record 3
Entry from the Open Quantum Materials Database: a relaxed structure of PmLuNO (PBE-GGA).

Cell lengths 8.076, 6.646, 4.927 Å; angles 90.00, 90.00, 90.00 degrees
Fractional coordinates of all 16 atoms:
Pm 0.126 0.068 0.250
Pm 0.126 0.432 0.750
Pm 0.874 0.568 0.250
Pm 0.874 0.932 0.750
Lu 0.380 0.586 0.250
Lu 0.380 0.914 0.750
Lu 0.620 0.086 0.250
Lu 0.620 0.414 0.750
N 0.386 0.581 0.750
N 0.386 0.919 0.250
N 0.614 0.081 0.750
N 0.614 0.419 0.250
O 0.149 0.085 0.750
O 0.149 0.415 0.250
O 0.851 0.585 0.750
O 0.851 0.915 0.250

## Properties
**Energy relative to the lowest polymorph listed for this composition**: 0.0 meV/atom

***

Record 4
Entry from the Open Quantum Materials Database: a relaxed structure of Nd2DyCd3Ir2Pt (PBE-GGA).

Cell lengths 4.027, 7.562, 7.562 Å; angles 119.83, 90.00, 90.00 degrees
Fractional coordinates of all 9 atoms:
Nd 0.000 0.205 0.795
Nd 0.000 0.795 0.205
Dy 0.000 0.389 0.389
Cd 0.500 0.050 0.050
Cd 0.500 0.540 0.795
Cd 0.500 0.795 0.540
Ir 0.500 0.135 0.460
Ir 0.500 0.460 0.135
Pt 0.000 0.790 0.790

## Properties
**DFT formation energy**: -635 meV per atom

***

Record 5
Entry from the Open Quantum Materials Database: a relaxed structure of Co11Re2 (PBE-GGA).

Cell lengths 8.686, 8.686, 8.686 Å; angles 30.60, 30.60, 30.60 degrees
Fractional coordinates of all 13 atoms:
Co 0.000 0.000 0.000
Co 0.091 0.091 0.585
Co 0.091 0.585 0.091
Co 0.165 0.165 0.165
Co 0.346 0.346 0.346
Co 0.415 0.909 0.909
Co 0.585 0.091 0.091
Co 0.654 0.654 0.654
Co 0.835 0.835 0.835
Co 0.909 0.415 0.909
Co 0.909 0.909 0.415
Re 0.452 0.452 0.452
Re 0.548 0.548 0.548

## Properties
**Energy relative to the lowest polymorph listed for this composition**: 40.5 meV/atom
**DFT formation energy**: 140 meV per atom

***

Record 6
Entry from the Open Quantum Materials Database: a relaxed structure of Rb2AgPbCl6 (PBE-GGA).

Cell lengths 7.424, 7.444, 10.838 Å; angles 89.93, 89.72, 89.98 degrees
Fractional coordinates of all 20 atoms:
Rb 0.002 0.005 0.252
Rb 0.497 0.495 0.252
Rb 0.503 0.505 0.748
Rb 0.998 0.995 0.748
Ag 0.000 0.500 0.500
Ag 0.500 0.000 0.000
Pb 0.000 0.500 0.000
Pb 0.500 0.000 0.500
Cl 0.005 0.485 0.254
Cl 0.194 0.793 0.496
Cl 0.201 0.188 0.992
Cl 0.293 0.306 0.509
Cl 0.312 0.700 0.003
Cl 0.494 0.015 0.247
Cl 0.506 0.985 0.753
Cl 0.688 0.300 0.997
Cl 0.707 0.694 0.491
Cl 0.799 0.812 0.008
Cl 0.806 0.207 0.504
Cl 0.995 0.515 0.746

## Properties
**Energy relative to the lowest polymorph listed for this composition**: 3.3 meV/atom

***

Record 7
Entry from the Open Quantum Materials Database: a relaxed structure of CoAg2Bi (PBE-GGA).

Cell lengths 4.733, 4.733, 4.733 Å; angles 60.00, 60.00, 60.00 degrees
Fractional coordinates of all 4 atoms:
Co 0.000 0.000 0.000
Ag 0.250 0.250 0.250
Ag 0.500 0.500 0.500
Bi 0.750 0.750 0.750

## Properties
**Uncorrected energy**: -15.2 eV for the cell shown

***

Record 8
Entry from the Open Quantum Materials Database: a relaxed structure of KNaThSe3 (PBE-GGA).

Cell lengths 7.684, 7.684, 11.538 Å; angles 90.00, 90.00, 146.36 degrees
Fractional coordinates of all 12 atoms:
K 0.221 0.779 0.750
K 0.779 0.221 0.250
Na 0.061 0.939 0.250
Na 0.939 0.061 0.750
Th 0.500 0.500 0.000
Th 0.500 0.500 0.500
Se 0.130 0.870 0.029
Se 0.130 0.870 0.471
Se 0.448 0.552 0.250
Se 0.552 0.448 0.750
Se 0.870 0.130 0.529
Se 0.870 0.130 0.971

## Properties
**Uncorrected energy**: -57.9 eV for the cell shown

***

Record 9
Entry from the Open Quantum Materials Database: a relaxed structure of Lu6Bi2W (PBE-GGA).

Cell lengths 8.096, 8.096, 4.344 Å; angles 90.00, 90.00, 120.00 degrees
Fractional coordinates of all 9 atoms:
Lu 0.000 0.381 0.000
Lu 0.000 0.764 0.500
Lu 0.236 0.236 0.500
Lu 0.381 0.000 0.000
Lu 0.619 0.619 0.000
Lu 0.764 0.000 0.500
Bi 0.333 0.667 0.500
Bi 0.667 0.333 0.500
W 0.000 0.000 0.000

## Properties
**Uncorrected energy**: -51.6 eV for the cell shown

***

Record 10
Entry from the Open Quantum Materials Database: a relaxed structure of BeTcGe (PBE-GGA).

Cell lengths 3.832, 3.832, 3.832 Å; angles 60.00, 60.00, 60.00 degrees
Fractional coordinates of all 3 atoms:
Be 0.000 0.000 0.000
Tc 0.250 0.250 0.250
Ge 0.750 0.750 0.750

## Properties
**Energy relative to the lowest polymorph listed for this composition**: 0.0 meV/atom

***

Record 11
Entry from the Open Quantum Materials Database: a relaxed structure of CuSi64 (PBE-GGA).

Cell lengths 10.951, 10.951, 10.951 Å; angles 90.03, 90.03, 90.03 degrees
Fractional coordinates of all 65 atoms:
Cu 0.000 0.000 0.000
Si 0.062 0.062 0.314
Si 0.062 0.314 0.062
Si 0.062 0.561 0.812
Si 0.062 0.812 0.561
Si 0.063 0.313 0.562
Si 0.063 0.562 0.313
Si 0.065 0.065 0.805
Si 0.065 0.805 0.065
Si 0.185 0.185 0.185
Si 0.186 0.685 0.685
Si 0.188 0.437 0.437
Si 0.188 0.439 0.938
Si 0.188 0.938 0.439
Si 0.192 0.192 0.686
Si 0.192 0.686 0.192
Si 0.195 0.935 0.935
Si 0.311 0.311 0.311
Si 0.313 0.063 0.562
Si 0.313 0.562 0.063
Si 0.313 0.562 0.562
Si 0.314 0.062 0.062
Si 0.314 0.808 0.808
Si 0.315 0.315 0.814
Si 0.315 0.814 0.315
Si 0.437 0.188 0.437
Si 0.437 0.437 0.188
Si 0.438 0.438 0.687
Si 0.438 0.687 0.438
Si 0.438 0.687 0.937
Si 0.438 0.937 0.687
Si 0.439 0.188 0.938
Si 0.439 0.938 0.188
Si 0.561 0.062 0.812
Si 0.561 0.812 0.062
Si 0.562 0.063 0.313
Si 0.562 0.313 0.063
Si 0.562 0.313 0.562
Si 0.562 0.562 0.313
Si 0.563 0.563 0.812
Si 0.563 0.812 0.563
Si 0.685 0.186 0.685
Si 0.685 0.685 0.186
Si 0.686 0.192 0.192
Si 0.686 0.938 0.938
Si 0.687 0.438 0.438
Si 0.687 0.438 0.937
Si 0.687 0.937 0.438
Si 0.689 0.689 0.689
Si 0.805 0.065 0.065
Si 0.808 0.314 0.808
Si 0.808 0.808 0.314
Si 0.812 0.062 0.561
Si 0.812 0.561 0.062
Si 0.812 0.563 0.563
Si 0.814 0.315 0.315
Si 0.815 0.815 0.815
Si 0.935 0.195 0.935
Si 0.935 0.935 0.195
Si 0.937 0.438 0.687
Si 0.937 0.687 0.438
Si 0.938 0.188 0.439
Si 0.938 0.439 0.188
Si 0.938 0.686 0.938
Si 0.938 0.938 0.686

## Properties
**Uncorrected energy**: -349.2 eV for the cell shown

***

Record 12
Entry from the Open Quantum Materials Database: a relaxed structure of Pr2Er2CIBr4 (PBE-GGA).

Cell lengths 9.246, 9.246, 8.956 Å; angles 102.82, 102.82, 24.62 degrees
Fractional coordinates of all 10 atoms:
Pr 0.001 0.001 0.304
Pr 0.999 0.999 0.696
Er 0.365 0.365 0.434
Er 0.635 0.635 0.566
C 0.500 0.500 0.500
I 0.500 0.500 0.000
Br 0.171 0.171 0.800
Br 0.174 0.174 0.361
Br 0.826 0.826 0.639
Br 0.829 0.829 0.200

## Properties
**Uncorrected energy**: -49.7 eV for the cell shown

***

Record 13
Entry from the Open Quantum Materials Database: a relaxed structure of Rb2CoCuI6 (PBE-GGA).

Cell lengths 7.865, 7.865, 7.865 Å; angles 60.33, 60.33, 60.33 degrees
Fractional coordinates of all 10 atoms:
Rb 0.250 0.250 0.250
Rb 0.750 0.750 0.750
Co 0.000 0.000 0.000
Cu 0.500 0.500 0.500
I 0.214 0.755 0.278
I 0.245 0.722 0.786
I 0.278 0.214 0.755
I 0.722 0.786 0.245
I 0.755 0.278 0.214
I 0.786 0.245 0.722

## Properties
**Uncorrected energy**: -27.5 eV for the cell shown

***

Record 14
Entry from the Open Quantum Materials Database: a relaxed structure of TbGdAl4Co2 (PBE-GGA).

Cell lengths 7.026, 5.393, 5.393 Å; angles 44.18, 90.00, 90.00 degrees
Fractional coordinates of all 8 atoms:
Tb 0.000 0.000 0.000
Gd 0.500 0.881 0.881
Al 0.193 0.279 0.279
Al 0.305 0.601 0.601
Al 0.695 0.601 0.601
Al 0.807 0.279 0.279
Co 0.000 0.725 0.725
Co 0.500 0.155 0.155

## Properties
**Uncorrected energy**: -42.7 eV for the cell shown

***

Record 15
Entry from the Open Quantum Materials Database: a relaxed structure of ErScTeC (PBE-GGA).

Cell lengths 3.683, 3.683, 13.567 Å; angles 90.00, 90.00, 120.00 degrees
Fractional coordinates of all 8 atoms:
Er 0.333 0.667 0.404
Er 0.667 0.333 0.596
Sc 0.333 0.667 0.086
Sc 0.667 0.333 0.914
Te 0.333 0.667 0.762
Te 0.667 0.333 0.238
C 0.000 0.000 0.000
C 0.000 0.000 0.500

## Properties
**Energy relative to the lowest polymorph listed for this composition**: 2.5 meV/atom

***

Record 16
Entry from the Open Quantum Materials Database: a relaxed structure of Be2AlOs2 (PBE-GGA).

Cell lengths 6.075, 6.075, 3.039 Å; angles 90.00, 90.00, 90.00 degrees
Fractional coordinates of all 10 atoms:
Be 0.120 0.380 0.000
Be 0.380 0.880 0.000
Be 0.620 0.120 0.000
Be 0.880 0.620 0.000
Al 0.000 0.000 0.000
Al 0.500 0.500 0.000
Os 0.174 0.674 0.500
Os 0.326 0.174 0.500
Os 0.674 0.826 0.500
Os 0.826 0.326 0.500

## Properties
**Uncorrected energy**: -71.2 eV for the cell shown

***

Record 17
Entry from the Open Quantum Materials Database: a relaxed structure of SnMoW (PBE-GGA).

Cell lengths 4.439, 4.439, 4.439 Å; angles 60.00, 60.00, 60.00 degrees
Fractional coordinates of all 3 atoms:
Sn 0.000 0.000 0.000
Mo 0.250 0.250 0.250
W 0.500 0.500 0.500

## Properties
**Energy relative to the lowest polymorph listed for this composition**: 0.0 meV/atom

***

Record 18
Entry from the Open Quantum Materials Database: a relaxed structure of HfTaCoBi (PBE-GGA).

Cell lengths 4.734, 4.734, 4.734 Å; angles 60.00, 60.00, 60.00 degrees
Fractional coordinates of all 4 atoms:
Hf 0.000 0.000 0.000
Ta 0.250 0.250 0.250
Co 0.750 0.750 0.750
Bi 0.500 0.500 0.500

## Properties
**Energy relative to the lowest polymorph listed for this composition**: 0.0 meV/atom

***

Record 19
Entry from the Open Quantum Materials Database: a relaxed structure of TlTcAgTeSe2 (PBE-GGA).

Cell lengths 8.048, 8.048, 10.505 Å; angles 90.00, 90.00, 153.46 degrees
Fractional coordinates of all 12 atoms:
Tl 0.232 0.768 0.750
Tl 0.768 0.232 0.250
Tc 0.000 0.000 0.000
Tc 0.000 0.000 0.500
Ag 0.440 0.560 0.250
Ag 0.560 0.440 0.750
Te 0.076 0.924 0.250
Te 0.924 0.076 0.750
Se 0.384 0.616 0.020
Se 0.384 0.616 0.480
Se 0.616 0.384 0.520
Se 0.616 0.384 0.980

## Properties
**Uncorrected energy**: -52.1 eV for the cell shown

***

Record 20
Entry from the Open Quantum Materials Database: a relaxed structure of Ge2Au (PBE-GGA).

Cell lengths 5.520, 5.520, 5.520 Å; angles 60.00, 60.00, 60.00 degrees
Fractional coordinates of all 6 atoms:
Ge 0.000 0.000 0.000
Ge 0.000 0.000 0.500
Ge 0.000 0.500 0.000
Ge 0.500 0.000 0.000
Au 0.375 0.375 0.375
Au 0.625 0.625 0.625

## Properties
**Uncorrected energy**: -22.6 eV for the cell shown

***

Record 21
Entry from the Open Quantum Materials Database: a relaxed structure of Ba2NdS3 (PBE-GGA).

Cell lengths 4.323, 4.323, 10.922 Å; angles 90.00, 90.00, 120.00 degrees
Fractional coordinates of all 6 atoms:
Ba 0.333 0.667 0.175
Ba 0.667 0.333 0.825
Nd 0.000 0.000 0.500
S 0.000 0.000 0.000
S 0.333 0.667 0.642
S 0.667 0.333 0.358

## Properties
**Uncorrected energy**: -33.1 eV for the cell shown